Entry 1:
This record from Alexandria describes a relaxed PuHf2Al crystal. The functional is PBE-GGA.

Unit cell a=3.0323 b=3.0323 c=32.7372 alpha=90.00 beta=90.00 gamma=120.00
Space group R-3m (No. 166, hexagonal axes)
Asymmetric unit:
Pu1 0.0000 0.0000 0.0000 (multiplicity 3)
Hf1 0.0000 0.0000 0.0927 (multiplicity 6)
Al1 0.0000 0.0000 0.5000 (multiplicity 3)

Properties
Distance to the lowest polymorph of the same formula ... 301 meV/atom
Magnetization ... 1.221 μB/atom
Formation energy from the elements ... 0.215 eV/atom

---

Entry 2:
This record from Alexandria describes a relaxed Dy2Y6Tl crystal. The functional is PBE-GGA.

Unit cell a=10.6570 b=10.6570 c=4.9124 alpha=90.00 beta=90.00 gamma=90.00
Space group P4_2/mnm (No. 136)
Asymmetric unit:
Dy1 0.1648 0.1648 0.0000 (multiplicity 4)
Y1 0.0018 0.3339 0.5000 (multiplicity 8)
Y2 0.1592 0.8408 0.0000 (multiplicity 4)
Tl1 0.0000 0.0000 0.5000 (multiplicity 2)

Properties
Distance to the lowest polymorph of the same formula ... 64 meV/atom
Magnetization ... 0.000 μB/atom
Formation energy from the elements ... -0.040 eV/atom

---

Entry 3:
This record from Alexandria describes a relaxed Pm2Al2Au3 crystal. The functional is PBE-GGA.

Unit cell a=4.2677 b=19.7442 c=7.3060 alpha=90.00 beta=90.00 gamma=90.00
Space group Cmcm (No. 63)
Asymmetric unit:
Pm1 0.0000 0.0593 0.2500 (multiplicity 4)
Pm2 0.0000 0.1511 0.7500 (multiplicity 4)
Al1 0.0000 0.3051 0.5569 (multiplicity 8)
Au1 0.0000 0.2257 0.2500 (multiplicity 4)
Au2 0.0000 0.4335 0.0510 (multiplicity 8)

Properties
Distance to the lowest polymorph of the same formula ... 0 meV/atom
Magnetization ... 0.000 μB/atom
Formation energy from the elements ... -0.735 eV/atom

---

Entry 4:
This record from Alexandria describes a relaxed Ca2ZnNi crystal. The functional is PBE-GGA.

Unit cell a=7.2206 b=4.1685 c=7.5857 alpha=90.00 beta=108.37 gamma=90.00
Space group Cm (No. 8)
Asymmetric unit:
Ca1 0.0000 0.0000 0.0000 (multiplicity 2)
Ca2 0.1754 0.0000 0.5289 (multiplicity 2)
Zn1 0.4209 0.0000 0.2637 (multiplicity 2)
Ni1 0.2549 0.5000 0.2660 (multiplicity 2)

Properties
Magnetization ... 0.000 μB/atom
Formation energy from the elements ... -0.208 eV/atom